First-principles (PBE) data for an optimized crystal structure of Cs2SrTmCl6, as listed in Alexandria via LeMat-Bulk.

a b c (Å): 7.8187 11.0686 7.8275
angles (deg): 90.00 90.00 90.00
With the nearest neighbours (Å) after each atom.
Space group Pmmn (No. 59, origin choice 2)
One atom of each set of equivalent atoms:
1 Cs 0.2500 0.0003 0.2495 (multiplicity 4)  12 Cl 3.91-3.92
2 Sr 0.2500 0.2500 0.7498 (multiplicity 2)  6 Cl 2.89
3 Tm 0.2500 0.7500 0.7503 (multiplicity 2)  6 Cl 2.65
4 Cl 0.0109 0.7500 0.5112 (multiplicity 4)  1 Tm 2.65, 1 Sr 2.89
5 Cl 0.0108 0.7500 0.9895 (multiplicity 4)  1 Tm 2.65, 1 Sr 2.89
6 Cl 0.2500 0.5109 0.7506 (multiplicity 4)  1 Tm 2.65, 1 Sr 2.89

Results
Fermi-level density of states = 0.494 states/eV/atom
formation energy from raw total energies = -2067 meV/atom
calculated total energy = -3.961 eV per atom

=====

First-principles (PBE) data for an optimized crystal structure of TlAsI4, as listed in Alexandria via LeMat-Bulk.

a b c (Å): 10.7030 16.3601 7.5461
angles (deg): 90.00 105.29 90.00
With the nearest neighbours (Å) after each atom.
Space group C2/c (No. 15)
One atom of each set of equivalent atoms:
1 Tl 0.0000 0.2340 0.2500 (multiplicity 4)  6 I 3.43-3.64
2 As 0.0000 0.0708 0.7500 (multiplicity 4)  6 I 2.78-3.05
3 I 0.1578 0.0630 0.1287 (multiplicity 8)  2 As 2.91-3.05
4 I 0.1727 0.1879 0.6897 (multiplicity 8)  1 As 2.78

Results
Fermi-level density of states = 0.000 states/eV/atom
relative energy among the computed polymorphs = 0.00 eV per formula unit
formation energy from raw total energies = -319 meV/atom
calculated total energy = -2.521 eV per atom

=====

First-principles (PBE) data for an optimized crystal structure of CuBiBr2, as listed in Alexandria via LeMat-Bulk.

a b c (Å): 7.6228 7.6228 7.1306
angles (deg): 90.00 90.00 90.00
With the nearest neighbours (Å) after each atom.
Space group I-42d (No. 122)
One atom of each set of equivalent atoms:
1 Cu 0.0000 0.0000 0.0000 (multiplicity 4)  4 Br 2.54
2 Bi 0.0000 0.0000 0.5000 (multiplicity 4)  4 Br 3.18
3 Br 0.1872 0.7500 0.1250 (multiplicity 8)  2 Cu 2.54

Results
Fermi-level density of states = 0.378 states/eV/atom
relative energy among the computed polymorphs = 1.13 eV per formula unit
formation energy from raw total energies = 53 meV/atom
calculated total energy = -2.778 eV per atom

=====

First-principles (PBE) data for an optimized crystal structure of MgNbCuBi2, as listed in Alexandria via LeMat-Bulk.

a b c (Å): 5.4658 5.4658 4.9775
angles (deg): 90.00 90.00 90.00
With the nearest neighbours (Å) after each atom.
Space group P4/mmm (No. 123)
One atom of each set of equivalent atoms:
1 Mg 0.0000 0.0000 0.0000 (multiplicity 1)  8 Bi 3.70, 4 Cu 3.86
2 Nb 0.5000 0.5000 0.5000 (multiplicity 1)  2 Cu 2.49, 4 Bi 2.73
3 Cu 0.5000 0.5000 0.0000 (multiplicity 1)  2 Nb 2.49
4 Bi 0.0000 0.5000 0.5000 (multiplicity 2)  2 Nb 2.73

Results
Fermi-level density of states = 0.732 states/eV/atom
calculated total energy = -4.069 eV per atom
energy of formation = 3.18 eV/f.u.

=====

First-principles (PBE) data for an optimized crystal structure of Pr8CdPt2, as listed in Alexandria via LeMat-Bulk.

a b c (Å): 15.3711 7.0707 6.6180
angles (deg): 90.00 98.06 90.00
With the nearest neighbours (Å) after each atom.
Space group C2/m (No. 12)
One atom of each set of equivalent atoms:
1 Pr 0.0848 0.0000 0.3807 (multiplicity 4)  1 Pt 2.85
2 Pr 0.1198 0.2487 0.8872 (multiplicity 8)  2 Pt 2.92-2.97
3 Pr 0.2015 0.5000 0.3679 (multiplicity 4)  1 Pt 3.07, 1 Cd 3.33
4 Cd 0.0000 0.5000 0.5000 (multiplicity 2)  6 Pr 3.33-3.43
5 Pt 0.2347 0.0000 0.1711 (multiplicity 4)  6 Pr 2.85-3.07

Results
Fermi-level density of states = 1.248 states/eV/atom
relative energy among the computed polymorphs = 0.00 eV per formula unit
calculated total energy = -5.046 eV per atom
energy of formation = -4.27 eV/f.u.

=====

First-principles (PBE) data for an optimized crystal structure of InPAu2, as listed in Alexandria via LeMat-Bulk.

a b c (Å): 3.6206 3.6206 6.5675
angles (deg): 90.00 90.00 90.00
With the nearest neighbours (Å) after each atom.
Space group P4mm (No. 99)
One atom of each set of equivalent atoms:
1 In 0.0000 0.0000 0.0000 (multiplicity 1)  5 Au 2.77-2.86
2 P 0.5000 0.5000 0.4344 (multiplicity 1)  5 Au 2.43-2.56
3 Au 0.0000 0.0000 0.4224 (multiplicity 1)  4 P 2.56, 1 In 2.77
4 Au 0.5000 0.5000 0.8051 (multiplicity 1)  1 P 2.43

Results
Fermi-level density of states = 0.601 states/eV/atom
relative energy among the computed polymorphs = 0.46 eV per formula unit
calculated total energy = -3.606 eV per atom
energy of formation = 0.28 eV/f.u.

=====

First-principles (PBE) data for an optimized crystal structure of Rh3WBr, as listed in Alexandria via LeMat-Bulk.

a b c (Å): 4.5468 4.5468 4.5468
angles (deg): 90.00 90.00 90.00
With the nearest neighbours (Å) after each atom.
Space group Pm-3m (No. 221)
One atom of each set of equivalent atoms:
1 Rh 0.0000 0.0000 0.5000 (multiplicity 3)  2 Br 2.27
2 W 0.5000 0.5000 0.5000 (multiplicity 1)  12 Rh 3.22
3 Br 0.0000 0.0000 0.0000 (multiplicity 1)  6 Rh 2.27

Results
Fermi-level density of states = 2.373 states/eV/atom
relative energy among the computed polymorphs = 1.89 eV per formula unit
formation energy from raw total energies = 1588 meV/atom
calculated total energy = -5.748 eV per atom

=====

First-principles (PBE) data for an optimized crystal structure of Sm2CoC2, as listed in Alexandria via LeMat-Bulk.

a b c (Å): 10.9255 3.5899 8.2256
angles (deg): 90.00 107.47 90.00
With the nearest neighbours (Å) after each atom.
Space group C2/m (No. 12)
One atom of each set of equivalent atoms:
1 Sm 0.1116 0.0000 0.4330 (multiplicity 4)  3 C 2.48-2.59
2 Sm 0.1794 0.5000 0.1266 (multiplicity 4)  6 C 2.57-2.77, 1 Co 2.68
3 Co 0.0771 0.5000 0.7867 (multiplicity 4)  1 C 1.84
4 C 0.0108 0.0000 0.9184 (multiplicity 4)  1 C 1.43
5 C 0.1952 0.5000 0.6669 (multiplicity 4)  1 Co 1.84

Results
Fermi-level density of states = 0.658 states/eV/atom
relative energy among the computed polymorphs = 0.59 eV per formula unit
calculated total energy = -6.982 eV per atom
energy of formation = 0.08 eV/f.u.

=====

First-principles (PBE) data for an optimized crystal structure of Nd5Dy6Sc2, as listed in Alexandria via LeMat-Bulk.

a b c (Å): 11.3510 20.4821 3.6044
angles (deg): 90.00 90.00 90.00
With the nearest neighbours (Å) after each atom.
Space group Pbam (No. 55)
One atom of each set of equivalent atoms:
1 Nd 0.0000 0.0000 0.0000 (multiplicity 2)  6 Dy 3.30-3.55, 2 Nd 3.60
2 Nd 0.0615 0.4228 0.0000 (multiplicity 4)  2 Sc 3.38, 3 Nd 3.46-3.60, 6 Dy 3.66-3.74
3 Nd 0.1479 0.7224 0.0000 (multiplicity 4)  4 Dy 3.38-3.76, 4 Sc 3.46-3.52, 2 Nd 3.60
4 Dy 0.0799 0.1550 0.0000 (multiplicity 4)  2 Sc 3.25, 3 Nd 3.30-3.60, 6 Dy 3.43-3.60
5 Dy 0.1676 0.8829 0.5000 (multiplicity 4)  1 Sc 3.20, 2 Dy 3.43, 2 Nd 3.55
6 Dy 0.2223 0.5554 0.5000 (multiplicity 4)  5 Dy 3.53-3.75, 6 Nd 3.72-3.80
7 Sc 0.1114 0.2860 0.5000 (multiplicity 4)  3 Dy 3.20-3.25, 6 Nd 3.38-3.52

Results
Fermi-level density of states = 1.520 states/eV/atom
calculated total energy = -4.874 eV per atom
energy of formation = 0.76 eV/f.u.

=====

First-principles (PBE) data for an optimized crystal structure of Er5Tl6Hg, as listed in Alexandria via LeMat-Bulk.

a b c (Å): 10.1049 14.9179 4.8486
angles (deg): 90.00 118.59 90.00
With the nearest neighbours (Å) after each atom.
Space group C2/m (No. 12)
One atom of each set of equivalent atoms:
1 Er 0.0000 0.0000 0.0000 (multiplicity 2)  8 Tl 3.17-3.35
2 Er 0.0000 0.1773 0.5000 (multiplicity 4)  8 Tl 3.20-3.34
3 Er 0.0000 0.3615 0.0000 (multiplicity 4)  6 Tl 3.16-3.37, 2 Hg 3.18
4 Tl 0.2307 0.0000 0.7303 (multiplicity 4)  6 Er 3.16-3.34, 2 Hg 3.40-3.41, 4 Tl 3.53
5 Tl 0.2425 0.1723 0.2421 (multiplicity 8)  7 Er 3.20-3.55, 4 Tl 3.35-3.53, 1 Hg 3.44
6 Hg 0.0000 0.5000 0.5000 (multiplicity 2)  4 Er 3.18, 8 Tl 3.40-3.44

Results
Fermi-level density of states = 0.647 states/eV/atom
calculated total energy = -3.384 eV per atom
energy of formation = -3.29 eV/f.u.

=====

First-principles (PBE) data for an optimized crystal structure of CeGdSi, as listed in Alexandria via LeMat-Bulk.

a b c (Å): 4.6738 4.6738 4.0008
angles (deg): 90.00 90.00 120.00
With the nearest neighbours (Å) after each atom.
Space group P3m1 (No. 156)
One atom of each set of equivalent atoms:
1 Ce 0.0000 0.0000 0.0000 (multiplicity 1)  3 Si 3.00, 3 Gd 3.20
2 Gd 0.6667 0.3333 0.4287 (multiplicity 1)  3 Si 2.87, 3 Ce 3.20
3 Si 0.3333 0.6667 0.6696 (multiplicity 1)  3 Gd 2.87, 3 Ce 3.00

Results
Fermi-level density of states = 2.159 states/eV/atom
relative energy among the computed polymorphs = 0.32 eV per formula unit
formation energy from raw total energies = -244 meV/atom
calculated total energy = -8.723 eV per atom